No. 1
# Ce4As2AuS

A relaxed structure of Ce4As2AuS (PBE, Alexandria via LeMat-Bulk).

* spin magnetization: 3.89 μB per formula unit

abc: 7.290 4.158 7.337
angles: 90.00 109.18 90.00
Positions (direct):
Ce 0.246 0.000 0.241
Ce 0.250 0.500 0.760
Ce 0.750 0.500 0.240
Ce 0.754 0.000 0.759
As 0.000 0.000 0.500
As 0.000 0.500 0.000
Au 0.500 0.500 0.500
S 0.500 0.000 0.000

No. 2
# CeAsAuS

A relaxed structure of CeAsAuS (PBE, Alexandria via LeMat-Bulk).

* spin magnetization: 0.18 μB per formula unit

abc: 4.350 4.350 8.841
angles: 90.00 90.00 90.00
Positions (direct):
Ce 0.250 0.250 0.194
Ce 0.750 0.750 0.806
As 0.250 0.250 0.689
As 0.750 0.750 0.311
Au 0.250 0.750 0.500
Au 0.750 0.250 0.500
S 0.250 0.750 0.000
S 0.750 0.250 0.000

No. 3
# Ce4As2AuSe

A relaxed structure of Ce4As2AuSe (PBE, Alexandria via LeMat-Bulk).

* spin magnetization: 4.04 μB per formula unit

abc: 7.382 4.199 7.392
angles: 90.00 109.08 90.00
Positions (direct):
Ce 0.244 0.000 0.241
Ce 0.248 0.500 0.758
Ce 0.752 0.500 0.242
Ce 0.756 0.000 0.759
As 0.000 0.500 0.000
As 0.500 0.000 0.000
Au 0.500 0.500 0.500
Se 0.000 0.000 0.500

No. 4
# Ce4AsAuSe2

A relaxed structure of Ce4AsAuSe2 (PBE, Alexandria via LeMat-Bulk).

* spin magnetization: 4.25 μB per formula unit

abc: 7.350 4.205 7.396
angles: 90.00 109.12 90.00
Positions (direct):
Ce 0.247 0.000 0.244
Ce 0.250 0.500 0.756
Ce 0.750 0.500 0.244
Ce 0.753 0.000 0.756
As 0.500 0.000 0.000
Au 0.500 0.500 0.500
Se 0.000 0.000 0.500
Se 0.000 0.500 0.000

No. 5
# Ce4Te2AsAu

A relaxed structure of Ce4Te2AsAu (PBE, Alexandria via LeMat-Bulk).

* spin magnetization: 4.36 μB per formula unit

abc: 7.621 4.319 7.652
angles: 90.00 108.86 90.00
Positions (direct):
Ce 0.236 0.000 0.230
Ce 0.252 0.500 0.770
Ce 0.748 0.500 0.230
Ce 0.764 0.000 0.770
Te 0.000 0.000 0.500
Te 0.500 0.500 0.500
As 0.000 0.500 0.000
Au 0.500 0.000 0.000

No. 6
# As2AuCl

A relaxed structure of As2AuCl (PBE, Alexandria via LeMat-Bulk).

* relative energy among the computed polymorphs: 379 meV per atom
* spin magnetization: 0.00 μB per formula unit

abc: 3.432 3.432 8.158
angles: 90.00 90.00 115.26
Positions (direct):
As 0.000 0.000 0.000
As 0.500 0.500 0.220
Au 0.500 0.500 0.763
Cl 0.000 0.000 0.540

Formation energy without anion corrections values, unit eV/atom, following the record order: -1.295; -1.019; -1.264; -1.360; -1.148; 0.256.